(1)
The following is a DFT calculation (PBE) of a relaxed CeTlRh crystal.

Cell and atoms, written as POSCAR:
```
CeTlRh
1.0
-1.701 1.701 5.885
1.701 -1.701 5.885
1.701 1.701 -5.885
Ce Tl Rh
1 1 1
Cartesian
0.000 0.000 0.000
0.000 0.000 8.378
0.000 0.000 4.271
```

Values from the calculation:
Calculated formation energy in eV/atom: -0.359
Crystal system: tetragonal
Total magnetization in μB/f.u.: 0.88
V in Å³ per atom: 22.71

(2)
The following is a DFT calculation (PBE) of a relaxed Pm2SnS crystal.

Cell and atoms, written as POSCAR:
```
Pm2SnS
1.0
2.104 1.215 7.186
-2.104 1.215 7.186
0.000 -2.430 7.186
Pm Sn S
2 1 1
Cartesian
0.000 0.000 5.215
0.000 0.000 16.343
0.000 0.000 0.000
0.000 0.000 10.779
```

Values from the calculation:
Formation energy without anion corrections in eV per atom: -1.33
Crystal system: trigonal
Total magnetization in μB/f.u.: 0.00
V in Å³ per atom: 27.55
Relative energy among the computed polymorphs in eV/atom: 0.031

(3)
The following is a DFT calculation (PBE) of a relaxed Rb3SrTl2Cl6 crystal.

Cell and atoms, written as POSCAR:
```
Rb3SrTl2Cl6
1.0
4.689 -6.560 0.000
4.689 6.560 0.000
-3.701 0.000 7.271
Rb Sr Tl Cl
3 1 2 6
Cartesian
0.000 0.000 0.000
4.689 2.381 0.000
4.689 -2.381 0.000
2.839 0.000 3.636
2.839 4.787 3.636
2.839 -4.787 3.636
1.849 2.095 1.829
0.366 0.000 5.161
1.849 -2.095 1.829
3.829 2.095 5.443
5.313 0.000 2.110
3.829 -2.095 5.443
```

Values from the calculation:
Formation energy without anion corrections in eV per atom: -1.63
Crystal system: monoclinic
Total magnetization in μB/f.u.: 0.83
V in Å³ per atom: 37.28

(4)
The following is a DFT calculation (PBE) of a relaxed PdS4I crystal.

Cell and atoms, written as POSCAR:
```
PdS4I
1.0
4.634 -7.163 0.000
4.634 7.163 0.000
-3.126 0.000 5.341
Pd S I
2 8 2
Cartesian
2.289 4.165 4.006
3.852 -4.165 1.335
0.353 1.317 2.523
0.496 2.598 4.051
-1.210 -1.317 5.193
2.059 -2.598 1.380
4.082 2.598 3.961
7.352 1.317 0.148
5.645 -2.598 1.291
5.789 -1.317 2.819
3.852 1.805 1.335
2.289 -1.805 4.006
```

Values from the calculation:
Formation energy without anion corrections in eV per atom: 0.08
Crystal system: monoclinic
Total magnetization in μB/f.u.: 0.00
V in Å³ per atom: 29.55

| no. | final energy (eV/atom) |
| --- | --- |
| 1 | -5.5759 |
| 2 | -5.7337 |
| 3 | -3.3286 |
| 4 | -3.7982 |